Below is a relaxed Rb2MoPI6 crystal, with properties calculated at the GGA-PBE level.

Structure (extended XYZ):
```
10
Lattice="-4.041 4.041 6.252 4.041 -4.041 6.252 4.041 4.041 -6.252" Properties=species:S:1:pos:R:3 pbc="T T T"
Rb 4.041 0.000 3.126
Rb 0.000 4.041 3.126
Mo 0.000 0.000 0.000
P 0.000 0.000 6.252
I 0.000 0.000 2.816
I 2.045 2.045 0.000
I 1.996 -1.996 6.252
I -1.996 1.996 6.252
I 1.996 1.996 6.252
I 0.000 0.000 9.688
```

## Properties
Mass density in Mg/m³: 4.307
Total DFT energy (no corrections) in eV/atom: -3.165
Calculated volume in Å³ per cell: 408.4

Below is a relaxed ReMoP2I crystal, with properties calculated at the GGA-PBE level.

Structure (extended XYZ):
```
5
Lattice="4.529 0.000 0.000 0.000 4.529 0.000 0.000 0.000 5.948" Properties=species:S:1:pos:R:3 pbc="T T T"
Re 0.000 0.000 0.000
Mo 2.265 2.265 2.974
P 0.000 2.265 0.000
P 2.265 0.000 0.000
I 0.000 0.000 2.974
```

## Properties
Mass density in Mg/m³: 6.410
Total DFT energy (no corrections) in eV/atom: -6.016
Calculated volume in Å³ per cell: 122.0

Below is a relaxed MoP2RhI crystal, with properties calculated at the GGA-PBE level.

Structure (extended XYZ):
```
5
Lattice="5.113 0.000 0.000 0.000 5.113 0.000 0.000 0.000 4.762" Properties=species:S:1:pos:R:3 pbc="T T T"
Mo 0.000 0.000 0.000
P 0.000 2.557 2.381
P 2.557 0.000 2.381
Rh 2.557 2.557 0.000
I 2.557 2.557 2.381
```

## Properties
Mass density in Mg/m³: 5.171
Total DFT energy (no corrections) in eV/atom: -4.146
Calculated volume in Å³ per cell: 124.5

Below is a relaxed MoPS2I crystal, with properties calculated at the GGA-PBE level.

Structure (extended XYZ):
```
5
Lattice="4.599 0.000 0.000 0.000 4.599 0.000 0.000 0.000 5.153" Properties=species:S:1:pos:R:3 pbc="T T T"
Mo 0.000 0.000 0.000
P 0.000 0.000 2.576
S 0.000 2.300 0.000
S 2.300 0.000 0.000
I 2.300 2.300 2.576
```

## Properties
Mass density in Mg/m³: 4.843
Energy above the most stable polymorph in this dataset in meV per atom: 0.0
Calculated volume in Å³ per cell: 109.0

Below is a relaxed MoPS2I crystal, with properties calculated at the GGA-PBE level.

Structure (extended XYZ):
```
5
Lattice="4.993 0.000 0.000 0.000 4.993 0.000 0.000 0.000 5.226" Properties=species:S:1:pos:R:3 pbc="T T T"
Mo 0.000 0.000 0.000
P 2.496 2.496 0.000
S 0.000 2.496 2.613
S 2.496 0.000 2.613
I 2.496 2.496 2.613
```

## Properties
Mass density in Mg/m³: 4.052
Energy above the most stable polymorph in this dataset in meV per atom: 1428.5
Calculated volume in Å³ per cell: 130.3

Below is a relaxed Sb2MoPI crystal, with properties calculated at the GGA-PBE level.

Structure (extended XYZ):
```
5
Lattice="5.245 0.000 0.000 0.000 5.245 0.000 0.000 0.000 5.373" Properties=species:S:1:pos:R:3 pbc="T T T"
Sb 0.000 2.622 0.000
Sb 2.622 0.000 0.000
Mo 0.000 0.000 0.000
P 2.622 2.622 2.687
I 0.000 0.000 2.687
```

## Properties
Mass density in Mg/m³: 5.588
Energy above the most stable polymorph in this dataset in meV per atom: 0.0
Calculated volume in Å³ per cell: 147.8

Below is a relaxed Sb2MoPI crystal, with properties calculated at the GGA-PBE level.

Structure (extended XYZ):
```
5
Lattice="5.234 0.000 0.000 0.000 5.234 0.000 0.000 0.000 5.224" Properties=species:S:1:pos:R:3 pbc="T T T"
Sb 0.000 2.617 0.000
Sb 2.617 0.000 0.000
Mo 0.000 0.000 2.612
P 2.617 2.617 0.000
I 2.617 2.617 2.612
```

## Properties
Mass density in Mg/m³: 5.771
Energy above the most stable polymorph in this dataset in meV per atom: 247.1
Calculated volume in Å³ per cell: 143.1

Below is a relaxed Te2MoPI crystal, with properties calculated at the GGA-PBE level.

Structure (extended XYZ):
```
5
Lattice="5.242 0.000 0.000 0.000 5.242 0.000 0.000 0.000 5.714" Properties=species:S:1:pos:R:3 pbc="T T T"
Te 0.000 2.621 0.000
Te 2.621 0.000 0.000
Mo 0.000 0.000 0.000
P 2.621 2.621 2.857
I 0.000 0.000 2.857
```

## Properties
Mass density in Mg/m³: 5.383
Energy above the most stable polymorph in this dataset in meV per atom: 0.0
Calculated volume in Å³ per cell: 157.0

Please write out number 3 again, unchanged.
Below is a relaxed MoP2RhI crystal, with properties calculated at the GGA-PBE level.

Structure (extended XYZ):
```
5
Lattice="5.113 0.000 0.000 0.000 5.113 0.000 0.000 0.000 4.762" Properties=species:S:1:pos:R:3 pbc="T T T"
Mo 0.000 0.000 0.000
P 0.000 2.557 2.381
P 2.557 0.000 2.381
Rh 2.557 2.557 0.000
I 2.557 2.557 2.381
```

## Properties
Mass density in Mg/m³: 5.171
Total DFT energy (no corrections) in eV/atom: -4.146
Calculated volume in Å³ per cell: 124.5

> Which of these has the highest calculated volume?

Rb2MoPI6

> Which of these has the lowest mass density?

number 5